No. 1
## VCo3Ni4 (PBE-GGA)

Data for VCo3Ni4 after structural relaxation.

## Properties
calculated density	8.71	Mg/m³
raw total energy	-6.77	eV/atom
energy of formation from the pure elements	-0.08	eV per atom
excess energy over the best structure of this formula in the dataset	0	meV/atom
DOS(E_F)	9.08	states/eV/cell

abc: 7.656 7.656 7.656
angles: 153.66 153.66 37.60
Element x y z (fractional)
V  0.000  0.000  0.000
Co  0.252  0.252  0.000
Co  0.500  0.500  0.000
Co  0.748  0.748  0.000
Ni  0.125  0.625  0.500
Ni  0.375  0.875  0.500
Ni  0.625  0.125  0.500
Ni  0.875  0.375  0.500



No. 2
## VCoNi (PBE-GGA)

Data for VCoNi after structural relaxation.

## Properties
calculated density	8.14	Mg/m³
raw total energy	-7.43	eV/atom
energy of formation from the pure elements	-0.10	eV per atom
excess energy over the best structure of this formula in the dataset	76	meV/atom
DOS(E_F)	2.66	states/eV/cell

abc: 4.022 4.022 2.454
angles: 90.00 90.00 120.00
Element x y z (fractional)
V  0.000  0.000  0.000
Co  0.333  0.667  0.736
Ni  0.667  0.333  0.315